Mg2InReAg: relaxed, PBE.

Unit cell a=5.1189 b=5.1189 c=5.0904 alpha=90.00 beta=90.00 gamma=90.00
Space group P4/mmm (No. 123)
Symmetry-distinct sites (fractional):
Mg1 0.0000 0.5000 0.0000 x2
In1 0.0000 0.0000 0.0000 x1
Re1 0.0000 0.0000 0.5000 x1
Ag1 0.5000 0.5000 0.5000 x1

energy: -2.92 eV per atom
volume: 133 Å³/f.u.
M_tot: 2.3 μB per cell

=====

Mg5In2AgRh2: relaxed, PBE.

Unit cell a=9.6642 b=9.6642 c=4.1347 alpha=90.00 beta=90.00 gamma=90.00
Space group P4/mbm (No. 127)
Symmetry-distinct sites (fractional):
Mg1 0.0000 0.5000 0.0000 x2
Mg2 0.0784 0.2050 0.0000 x8
In1 0.1717 0.6717 0.5000 x4
Ag1 0.0000 0.0000 0.5000 x2
Rh1 0.1209 0.3791 0.5000 x4

energy: -3.40 eV per atom
volume: 193 Å³/f.u.
M_tot: 0.0 μB per cell

=====

Mg3In3Ag2Rh: relaxed, PBE.

Unit cell a=7.8804 b=7.8804 c=3.3447 alpha=90.00 beta=90.00 gamma=120.00
Space group P-62m (No. 189)
Symmetry-distinct sites (fractional):
Mg1 0.0000 0.3745 0.0000 x3
In1 0.0000 0.7224 0.5000 x3
Ag1 0.3333 0.6667 0.5000 x2
Rh1 0.0000 0.0000 0.0000 x1

energy: -3.15 eV per atom
volume: 180 Å³/f.u.
M_tot: 0.0 μB per cell

=====

Mg5In2Ag2Rh: relaxed, PBE.

Unit cell a=11.2708 b=11.2708 c=3.2505 alpha=90.00 beta=90.00 gamma=90.00
Space group P4/mbm (No. 127)
Symmetry-distinct sites (fractional):
Mg1 0.0000 0.5000 0.0000 x2
Mg2 0.0393 0.1859 0.0000 x8
In1 0.1763 0.6763 0.5000 x4
Ag1 0.1404 0.3596 0.5000 x4
Rh1 0.0000 0.0000 0.5000 x2

energy: -2.86 eV per atom
volume: 206 Å³/f.u.
M_tot: 0.0 μB per cell